A plane-wave DFT calculation with PBE was carried out for a relaxed NaIn2PbI5 crystal.

Cell lengths 4.720, 10.399, 16.178 Å; angles 90.00, 90.00, 103.12 degrees
Sites, in units of the cell vectors:
1 Na 0.550 0.100 0.949
2 Na 0.450 0.900 0.449
3 In 0.877 0.754 0.781
4 In 0.085 0.170 0.650
5 In 0.123 0.246 0.281
6 In 0.915 0.830 0.150
7 Pb 0.770 0.539 0.532
8 Pb 0.230 0.461 0.032
9 I 0.387 0.775 0.996
10 I 0.705 0.411 0.899
11 I 0.499 0.998 0.771
12 I 0.262 0.524 0.676
13 I 0.928 0.857 0.569
14 I 0.613 0.225 0.496
15 I 0.295 0.589 0.399
16 I 0.501 0.002 0.271
17 I 0.738 0.476 0.176
18 I 0.072 0.143 0.069

Values from the calculation:
The energy is -2.7064 eV per atom. The value obtained for the total magnetic moment is 0.00 μB/f.u. As for the density: 4.70 Mg/m³. The crystal system is orthorhombic.

---

A plane-wave DFT calculation with PBE was carried out for a relaxed BaTl2Mo2 crystal.

Cell lengths 5.092, 5.092, 6.349 Å; angles 66.36, 66.36, 90.00 degrees
Sites, in units of the cell vectors:
1 Mo 0.398 0.398 0.203
2 Mo 0.602 0.602 0.797
3 Tl 0.750 0.250 0.500
4 Tl 0.250 0.750 0.500
5 Ba 0.000 0.000 0.000

Values from the calculation:
The value obtained for the total magnetic moment is 0.00 μB/f.u. The value obtained for the formation energy is 0.501 eV per atom. The calculation puts the energy above the lowest structure with this stoichiometry at 0.000 eV/atom. As for the density: 9.04 Mg/m³. The crystal system is tetragonal.

---

A plane-wave DFT calculation with PBE was carried out for a relaxed BaSb2Br crystal.

Cell lengths 5.045, 5.045, 8.509 Å; angles 74.69, 74.69, 52.42 degrees
Sites, in units of the cell vectors:
1 Sb 0.021 0.021 0.908
2 Sb 0.737 0.737 0.781
3 Ba 0.502 0.502 0.504
4 Br 0.240 0.240 0.307

Values from the calculation:
The value obtained for the total magnetic moment is 0.00 μB/f.u. The calculation puts the energy above the lowest structure with this stoichiometry at 0.027 eV/atom. As for the density: 4.66 Mg/m³. The crystal system is monoclinic.

---

A plane-wave DFT calculation with PBE was carried out for a relaxed Nd2InBi4 crystal.

Cell lengths 4.586, 4.586, 10.906 Å; angles 90.00, 90.00, 90.00 degrees
Sites, in units of the cell vectors:
1 Nd 0.500 0.000 0.733
2 Nd 0.000 0.500 0.267
3 In 0.500 0.500 0.000
4 Bi 0.500 0.000 0.185
5 Bi 0.000 0.500 0.815
6 Bi 0.500 0.500 0.500
7 Bi 0.000 0.000 0.500

Values from the calculation:
The value obtained for the total magnetic moment is 0.00 μB/f.u. The value obtained for the formation energy is -0.511 eV per atom. The calculation puts the energy above the lowest structure with this stoichiometry at 0.000 eV/atom. As for the density: 8.97 Mg/m³. The crystal system is tetragonal.

---

A plane-wave DFT calculation with PBE was carried out for a relaxed SrZnIn4 crystal.

Cell lengths 6.234, 6.234, 6.234 Å; angles 60.00, 60.00, 60.00 degrees
Sites, in units of the cell vectors:
1 Sr 0.750 0.750 0.750
2 Zn 0.000 0.000 0.000
3 In 0.876 0.375 0.375
4 In 0.375 0.375 0.876
5 In 0.375 0.876 0.375
6 In 0.375 0.375 0.375

Values from the calculation:
The value obtained for the total magnetic moment is 0.00 μB/f.u. The value obtained for the formation energy is -0.057 eV per atom. As for the density: 5.93 Mg/m³. The crystal system is cubic.

---

A plane-wave DFT calculation with PBE was carried out for a relaxed Nd6As5Au crystal.

Cell lengths 7.425, 7.427, 7.414 Å; angles 59.94, 80.45, 70.66 degrees
Sites, in units of the cell vectors:
1 Au 0.000 0.000 0.000
2 As 0.500 0.164 0.672
3 As 0.000 0.333 0.334
4 As 0.500 0.500 0.000
5 As 0.000 0.667 0.666
6 As 0.500 0.836 0.328
7 Nd 0.744 0.086 0.349
8 Nd 0.256 0.565 0.349
9 Nd 0.259 0.261 0.000
10 Nd 0.741 0.739 0.000
11 Nd 0.744 0.435 0.651
12 Nd 0.256 0.914 0.651

Values from the calculation:
The value obtained for the total magnetic moment is 0.00 μB/f.u. The value obtained for the formation energy is -1.366 eV per atom. As for the density: 7.15 Mg/m³. The crystal system is monoclinic.

---

A plane-wave DFT calculation with PBE was carried out for a relaxed Cs3Pt2Pb2 crystal.

Cell lengths 7.566, 9.507, 14.681 Å; angles 90.00, 90.00, 90.00 degrees
Sites, in units of the cell vectors:
1 Cs 0.137 0.608 0.095
2 Cs 0.863 0.392 0.595
3 Cs 0.863 0.108 0.405
4 Cs 0.137 0.892 0.905
5 Cs 0.863 0.392 0.905
6 Cs 0.137 0.608 0.405
7 Cs 0.137 0.892 0.595
8 Cs 0.863 0.108 0.095
9 Cs 0.301 0.308 0.250
10 Cs 0.699 0.692 0.750
11 Cs 0.699 0.808 0.250
12 Cs 0.301 0.192 0.750
13 Pt 0.599 0.476 0.086
14 Pt 0.401 0.524 0.586
15 Pt 0.401 0.976 0.414
16 Pt 0.599 0.024 0.914
17 Pt 0.401 0.524 0.914
18 Pt 0.599 0.476 0.414
19 Pt 0.599 0.024 0.586
20 Pt 0.401 0.976 0.086
21 Pb 0.416 0.250 0.000
22 Pb 0.584 0.750 0.500
23 Pb 0.584 0.750 0.000
24 Pb 0.416 0.250 0.500
25 Pb 0.759 0.428 0.250
26 Pb 0.241 0.572 0.750
27 Pb 0.241 0.928 0.250
28 Pb 0.759 0.072 0.750

Values from the calculation:
The value obtained for the total magnetic moment is 0.00 μB/f.u. The value obtained for the formation energy is -0.141 eV per atom. As for the density: 7.57 Mg/m³. The crystal system is orthorhombic.

---

A plane-wave DFT calculation with PBE was carried out for a relaxed NaEuH2 crystal.

Cell lengths 3.192, 3.192, 7.129 Å; angles 90.00, 90.00, 90.00 degrees
Sites, in units of the cell vectors:
1 Eu 0.500 0.500 0.500
2 Na 0.500 0.500 0.000
3 H 0.000 0.000 0.659
4 H 0.000 0.000 0.341

Values from the calculation:
The value obtained for the total magnetic moment is 7.18 μB/f.u. The calculation puts the energy above the lowest structure with this stoichiometry at 0.192 eV/atom. As for the density: 4.04 Mg/m³. The crystal system is tetragonal.

---

A plane-wave DFT calculation with PBE was carried out for a relaxed SnPb2N2 crystal.

Cell lengths 6.402, 6.402, 7.501 Å; angles 90.00, 90.00, 126.49 degrees
Sites, in units of the cell vectors:
1 Sn 0.750 0.250 0.307
2 Sn 0.250 0.750 0.693
3 Pb 0.596 0.404 0.824
4 Pb 0.404 0.596 0.176
5 Pb 0.904 0.096 0.824
6 Pb 0.096 0.904 0.176
7 N 0.605 0.395 0.131
8 N 0.395 0.605 0.869
9 N 0.895 0.105 0.131
10 N 0.105 0.895 0.869

Values from the calculation:
The value obtained for the total magnetic moment is 0.00 μB/f.u. The calculation puts the energy above the lowest structure with this stoichiometry at 0.000 eV/atom. As for the density: 7.54 Mg/m³. The crystal system is orthorhombic.

---

A plane-wave DFT calculation with PBE was carried out for a relaxed BaNb3Pd crystal.

Cell lengths 5.012, 5.012, 5.012 Å; angles 90.00, 90.00, 90.00 degrees
Sites, in units of the cell vectors:
1 Nb 0.000 0.500 0.000
2 Nb 0.000 0.000 0.500
3 Nb 0.500 0.000 0.000
4 Ba 0.000 0.000 0.000
5 Pd 0.500 0.500 0.500

Values from the calculation:
The value obtained for the total magnetic moment is 0.00 μB/f.u. The value obtained for the formation energy is 2.529 eV per atom. The calculation puts the energy above the lowest structure with this stoichiometry at 1.358 eV/atom. As for the density: 6.89 Mg/m³. The crystal system is cubic.

---

A plane-wave DFT calculation with PBE was carried out for a relaxed CaTlOs crystal.

Cell lengths 3.300, 3.300, 7.081 Å; angles 90.00, 90.00, 120.00 degrees
Sites, in units of the cell vectors:
1 Tl 0.333 0.667 0.635
2 Os 0.667 0.333 0.335
3 Ca 0.000 0.000 0.030

Values from the calculation:
The value obtained for the total magnetic moment is 0.00 μB/f.u. The value obtained for the formation energy is 0.663 eV per atom. As for the density: 10.81 Mg/m³. The crystal system is trigonal.

---

A plane-wave DFT calculation with PBE was carried out for a relaxed Tb7HgSe5 crystal.

Cell lengths 4.076, 7.029, 24.473 Å; angles 90.02, 90.00, 106.85 degrees
Sites, in units of the cell vectors:
1 Tb 0.475 0.950 0.250
2 Tb 0.525 0.051 0.750
3 Tb 0.638 0.276 0.036
4 Tb 0.363 0.725 0.964
5 Tb 0.362 0.725 0.536
6 Tb 0.638 0.276 0.464
7 Tb 0.186 0.372 0.177
8 Tb 0.815 0.630 0.823
9 Tb 0.815 0.630 0.677
10 Tb 0.186 0.371 0.323
11 Tb 0.910 0.819 0.111
12 Tb 0.091 0.182 0.889
13 Tb 0.091 0.182 0.611
14 Tb 0.909 0.819 0.389
15 Hg 0.802 0.605 0.250
16 Hg 0.198 0.396 0.750
17 Se 0.000 0.001 0.000
18 Se 0.725 0.450 0.929
19 Se 0.276 0.551 0.071
20 Se 0.549 0.099 0.359
21 Se 0.451 0.902 0.641
22 Se 0.000 0.000 0.500
23 Se 0.275 0.551 0.429
24 Se 0.725 0.450 0.571
25 Se 0.451 0.902 0.859
26 Se 0.550 0.099 0.141

Values from the calculation:
The energy is -5.3127 eV per atom. The value obtained for the total magnetic moment is 0.00 μB/f.u. As for the density: 8.45 Mg/m³. The crystal system is orthorhombic.

---

A plane-wave DFT calculation with PBE was carried out for a relaxed Ba2TlInPb6 crystal.

Cell lengths 7.581, 7.581, 16.673 Å; angles 76.86, 76.86, 60.00 degrees
Sites, in units of the cell vectors:
1 Ba 0.875 0.875 0.375
2 Ba 0.125 0.125 0.625
3 Ba 0.719 0.719 0.844
4 Ba 0.281 0.281 0.156
5 Tl 0.576 0.576 0.273
6 Tl 0.424 0.424 0.727
7 In 0.000 0.000 0.000
8 In 0.500 0.500 0.500
9 Pb 0.930 0.339 0.391
10 Pb 0.339 0.930 0.391
11 Pb 0.339 0.339 0.391
12 Pb 0.070 0.661 0.609
13 Pb 0.661 0.070 0.609
14 Pb 0.661 0.661 0.609
15 Pb 0.767 0.192 0.849
16 Pb 0.192 0.767 0.849
17 Pb 0.192 0.192 0.849
18 Pb 0.233 0.808 0.151
19 Pb 0.808 0.233 0.151
20 Pb 0.808 0.808 0.151

Values from the calculation:
The value obtained for the total magnetic moment is 0.00 μB/f.u. The value obtained for the formation energy is -0.115 eV per atom. As for the density: 7.62 Mg/m³. The crystal system is trigonal.

---

A plane-wave DFT calculation with PBE was carried out for a relaxed Sr2Bi2Rh crystal.

Cell lengths 4.290, 4.290, 9.911 Å; angles 77.50, 77.50, 90.00 degrees
Sites, in units of the cell vectors:
1 Sr 0.408 0.408 0.183
2 Sr 0.592 0.592 0.817
3 Rh 0.000 0.000 0.000
4 Bi 0.750 0.250 0.500
5 Bi 0.250 0.750 0.500

Values from the calculation:
The value obtained for the total magnetic moment is 0.00 μB/f.u. The value obtained for the formation energy is -0.018 eV per atom. The calculation puts the energy above the lowest structure with this stoichiometry at 0.629 eV/atom. As for the density: 6.66 Mg/m³. The crystal system is tetragonal.

---

A plane-wave DFT calculation with PBE was carried out for a relaxed Y2Ho5Sb4 crystal.

Cell lengths 4.021, 6.931, 14.859 Å; angles 119.69, 97.78, 90.00 degrees
Sites, in units of the cell vectors:
1 Y 0.764 0.755 0.527
2 Y 0.236 0.245 0.473
3 Ho 0.091 0.884 0.183
4 Ho 0.909 0.116 0.817
5 Ho 0.142 0.477 0.285
6 Ho 0.500 0.000 0.000
7 Ho 0.858 0.523 0.715
8 Sb 0.671 0.858 0.341
9 Sb 0.970 0.633 0.939
10 Sb 0.329 0.142 0.659
11 Sb 0.030 0.367 0.061

Values from the calculation:
The energy is -5.2269 eV per atom. The value obtained for the total magnetic moment is 0.02 μB/f.u. As for the density: 6.96 Mg/m³. The crystal system is monoclinic.

---

A plane-wave DFT calculation with PBE was carried out for a relaxed ReTcS4 crystal.

Cell lengths 6.413, 5.465, 7.518 Å; angles 103.45, 108.36, 107.87 degrees
Sites, in units of the cell vectors:
1 Re 0.571 0.321 0.642
2 Re 0.429 0.679 0.358
3 Tc 0.652 0.902 0.804
4 Tc 0.348 0.098 0.196
5 S 0.071 0.293 0.104
6 S 0.196 0.936 0.404
7 S 0.532 0.811 0.104
8 S 0.708 0.468 0.404
9 S 0.292 0.532 0.596
10 S 0.468 0.189 0.896
11 S 0.804 0.064 0.596
12 S 0.929 0.707 0.896

Values from the calculation:
The value obtained for the total magnetic moment is 0.00 μB/f.u. The calculation puts the energy above the lowest structure with this stoichiometry at 0.000 eV/atom. As for the density: 6.18 Mg/m³. The crystal system is monoclinic.

---

A plane-wave DFT calculation with PBE was carried out for a relaxed La2CuIr2 crystal.

Cell lengths 7.443, 7.443, 4.042 Å; angles 90.00, 90.00, 90.00 degrees
Sites, in units of the cell vectors:
1 Ir 0.361 0.861 0.000
2 Ir 0.861 0.639 0.000
3 Ir 0.639 0.139 0.000
4 Ir 0.139 0.361 0.000
5 Cu 0.000 0.000 0.000
6 Cu 0.500 0.500 0.000
7 La 0.170 0.670 0.500
8 La 0.670 0.830 0.500
9 La 0.830 0.330 0.500
10 La 0.330 0.170 0.500

Values from the calculation:
The value obtained for the total magnetic moment is 0.00 μB/f.u. The value obtained for the formation energy is -0.410 eV per atom. The calculation puts the energy above the lowest structure with this stoichiometry at 0.169 eV/atom. As for the density: 10.77 Mg/m³. The crystal system is tetragonal.

---

A plane-wave DFT calculation with PBE was carried out for a relaxed PmSmGaPd crystal.

Cell lengths 3.877, 4.522, 5.971 Å; angles 90.00, 108.95, 90.00 degrees
Sites, in units of the cell vectors:
1 Pm 0.857 0.500 0.715
2 Sm 0.140 0.000 0.280
3 Ga 0.575 0.500 0.151
4 Pd 0.427 0.000 0.855

Values from the calculation:
The value obtained for the total magnetic moment is 0.00 μB/f.u. The value obtained for the formation energy is -0.683 eV per atom. The calculation puts the energy above the lowest structure with this stoichiometry at 0.000 eV/atom. As for the density: 7.91 Mg/m³. The crystal system is orthorhombic.

---

A plane-wave DFT calculation with PBE was carried out for a relaxed AcLuGeRh crystal.

Cell lengths 5.147, 5.147, 5.147 Å; angles 60.00, 60.00, 60.00 degrees
Sites, in units of the cell vectors:
1 Ac 0.500 0.500 0.500
2 Lu 0.000 0.000 0.000
3 Rh 0.750 0.750 0.750
4 Ge 0.250 0.250 0.250

Values from the calculation:
The value obtained for the total magnetic moment is 0.00 μB/f.u. The value obtained for the formation energy is -0.543 eV per atom. As for the density: 9.94 Mg/m³. The crystal system is cubic.

---

A plane-wave DFT calculation with PBE was carried out for a relaxed NiBrCl2 crystal.

Cell lengths 3.588, 5.960, 10.403 Å; angles 93.37, 85.65, 89.91 degrees
Sites, in units of the cell vectors:
1 Ni 0.284 0.842 0.552
2 Ni 0.784 0.343 0.552
3 Br 0.606 0.770 0.022
4 Br 0.410 0.419 0.080
5 Cl 0.812 0.665 0.427
6 Cl 0.312 0.163 0.427
7 Cl 0.256 0.520 0.677
8 Cl 0.757 0.021 0.677

Values from the calculation:
The value obtained for the total magnetic moment is 2.00 μB/f.u. The calculation puts the energy above the lowest structure with this stoichiometry at 0.000 eV/atom. As for the density: 3.14 Mg/m³. The crystal system is triclinic.